A plane-wave DFT calculation with PBE was carried out for a relaxed Pm2Dy3Er2 crystal.

As for the density of states at the Fermi level: 21.10 states/eV per cell. The value obtained for the total energy is -63.179 eV per cell. The energy above the lowest structure with this stoichiometry comes out at 103 meV per atom. The formation energy is 0.12 eV per atom.

It has space group C2/m (No. 12), with a = 17.479 Å, b = 3.502 Å, c = 8.523 Å, α = 90.00°, β = 119.15° and γ = 90.00°. The distinct sites, in fractional coordinates, are Pm at (0.066, 0.000, 0.221), Dy at (0.000, 0.500, 0.500), Dy at (0.212, 0.500, 0.624) and Er at (0.150, 0.500, 0.966).